# KUHg2I6, optimized geometry, DFT PBE-GGA
# VASP energy: -2.955 eV/atom
# V: 48.1 Å³/atom
# crystal system: trigonal
data_KUHg2I6
_symmetry_space_group_name_H-M 'R -3'
_symmetry_Int_Tables_number 148
_symmetry_space_group_name_Hall '-R 3'
_cell_length_a 9.4168
_cell_length_b 9.4168
_cell_length_c 18.7958
_cell_angle_alpha 90.00
_cell_angle_beta 90.00
_cell_angle_gamma 120.00
loop_
_atom_site_label
_atom_site_type_symbol
_atom_site_fract_x
_atom_site_fract_y
_atom_site_fract_z
K1 K 0.0000 0.0000 0.0000
U1 U 0.0000 0.0000 0.5000
Hg1 Hg 0.0000 0.0000 0.1995
I1 I 0.0285 0.7601 0.5893